No. 1
# Tb6SmHg2 GGA-PBE relaxed
data_Tb6SmHg2
_cell_length_a 12.662
_cell_length_b 3.750
_cell_length_c 11.913
_cell_angle_alpha 90.00
_cell_angle_beta 108.63
_cell_angle_gamma 90.00
_symmetry_space_group_name_H-M 'C 1 2/m 1'
_symmetry_Int_Tables_number 12
_symmetry_space_group_name_Hall '-C 2y'
loop_
_atom_site_label
_atom_site_fract_x
_atom_site_fract_y
_atom_site_fract_z
_atom_site_occupancy
Tb1 0.016 0.000 0.339 1
Tb2 0.188 0.500 0.584 1
Tb3 0.188 0.500 0.876 1
Sm1 0.000 0.000 0.000 1
Hg1 0.146 0.500 0.211 1
# **DOS(E_F)**: 18.71 states/eV per cell
# **Raw total energy**: -69.94 eV per cell
# **Energy relative to the elements**: -207 meV/atom

No. 2
# Tb3SmHg7 GGA-PBE relaxed
data_Tb3SmHg7
_cell_length_a 3.594
_cell_length_b 31.176
_cell_length_c 12.953
_cell_angle_alpha 90.00
_cell_angle_beta 90.00
_cell_angle_gamma 90.00
_symmetry_space_group_name_H-M 'C m c m'
_symmetry_Int_Tables_number 63
_symmetry_space_group_name_Hall '-C 2c 2'
loop_
_atom_site_label
_atom_site_fract_x
_atom_site_fract_y
_atom_site_fract_z
_atom_site_occupancy
Tb1 0.000 0.070 0.048 1
Tb2 0.000 0.190 0.750 1
Sm1 0.000 0.072 0.750 1
Hg1 0.000 0.268 0.080 1
Hg2 0.000 0.370 0.095 1
Hg3 0.000 0.428 0.750 1
Hg4 0.000 0.488 0.113 1
# **DOS(E_F)**: 44.36 states/eV per cell
# **Raw total energy**: -92.09 eV per cell
# **Energy relative to the elements**: -209 meV/atom

No. 3
# TbSmHg GGA-PBE relaxed
data_TbSmHg
_cell_length_a 3.671
_cell_length_b 3.671
_cell_length_c 12.867
_cell_angle_alpha 90.00
_cell_angle_beta 90.00
_cell_angle_gamma 90.00
_symmetry_space_group_name_H-M 'I 4 m m'
_symmetry_Int_Tables_number 107
_symmetry_space_group_name_Hall 'I 4 -2'
loop_
_atom_site_label
_atom_site_fract_x
_atom_site_fract_y
_atom_site_fract_z
_atom_site_occupancy
Tb1 0.000 0.000 0.000 1
Sm1 0.000 0.000 0.692 1
Hg1 0.000 0.000 0.352 1
# **DOS(E_F)**: 7.65 states/eV per cell
# **Raw total energy**: -21.12 eV per cell
# **Energy relative to the elements**: -303 meV/atom
# **Distance to the lowest polymorph of the same formula**: 0.044 eV per atom

No. 4
# Tb3Sm2Hg2 GGA-PBE relaxed
data_Tb3Sm2Hg2
_cell_length_a 3.618
_cell_length_b 32.045
_cell_length_c 3.599
_cell_angle_alpha 90.00
_cell_angle_beta 90.00
_cell_angle_gamma 90.00
_symmetry_space_group_name_H-M 'C m m m'
_symmetry_Int_Tables_number 65
_symmetry_space_group_name_Hall '-C 2 2'
loop_
_atom_site_label
_atom_site_fract_x
_atom_site_fract_y
_atom_site_fract_z
_atom_site_occupancy
Tb1 0.000 0.000 0.000 1
Tb2 0.000 0.123 0.000 1
Sm1 0.000 0.297 0.500 1
Hg1 0.000 0.439 0.500 1
# **DOS(E_F)**: 19.49 states/eV per cell
# **Raw total energy**: -50.64 eV per cell
# **Energy relative to the elements**: -198 meV/atom
# **Distance to the lowest polymorph of the same formula**: 0.042 eV per atom

No. 5
# TbSm2Hg3 GGA-PBE relaxed
data_TbSm2Hg3
_cell_length_a 3.776
_cell_length_b 3.776
_cell_length_c 11.333
_cell_angle_alpha 90.00
_cell_angle_beta 90.00
_cell_angle_gamma 90.00
_symmetry_space_group_name_H-M 'P 4/m m m'
_symmetry_Int_Tables_number 123
_symmetry_space_group_name_Hall '-P 4 2'
loop_
_atom_site_label
_atom_site_fract_x
_atom_site_fract_y
_atom_site_fract_z
_atom_site_occupancy
Tb1 0.000 0.000 0.000 1
Sm1 0.000 0.000 0.332 1
Hg1 0.500 0.500 0.160 1
Hg2 0.500 0.500 0.500 1
# **DOS(E_F)**: 7.12 states/eV per cell
# **Raw total energy**: -17.82 eV per cell
# **Energy relative to the elements**: -474 meV/atom

No. 6
# Tb2SmHg6 GGA-PBE relaxed
data_Tb2SmHg6
_cell_length_a 8.6319
_cell_length_b 8.6319
_cell_length_c 3.4500
_cell_angle_alpha 90.00
_cell_angle_beta 90.00
_cell_angle_gamma 120.00
_symmetry_space_group_name_H-M 'P 6/m m m'
_symmetry_Int_Tables_number 191
_symmetry_space_group_name_Hall '-P 6 2'
loop_
_atom_site_label
_atom_site_fract_x
_atom_site_fract_y
_atom_site_fract_z
_atom_site_occupancy
Tb1 0.3333 0.6667 0.0000 1
Sm1 0.0000 0.0000 0.0000 1
Hg1 0.0000 0.3345 0.5000 1
# **DOS(E_F)**: 6.52 states/eV per cell
# **Raw total energy**: -19.41 eV per cell
# **Energy relative to the elements**: -402 meV/atom

No. 7
# Tb3Sm5Hg2 GGA-PBE relaxed
data_Tb3Sm5Hg2
_cell_length_a 11.564
_cell_length_b 16.417
_cell_length_c 6.792
_cell_angle_alpha 90.00
_cell_angle_beta 90.00
_cell_angle_gamma 90.00
_symmetry_space_group_name_H-M 'I b a m'
_symmetry_Int_Tables_number 72
_symmetry_space_group_name_Hall '-I 2 2c'
loop_
_atom_site_label
_atom_site_fract_x
_atom_site_fract_y
_atom_site_fract_z
_atom_site_occupancy
Tb1 0.000 0.000 0.250 1
Tb2 0.221 0.171 0.000 1
Sm1 0.000 0.308 0.250 1
Sm2 0.000 0.500 0.250 1
Sm3 0.231 0.444 0.000 1
Hg1 0.058 0.160 0.500 1
# **DOS(E_F)**: 66.37 states/eV per cell
# **Raw total energy**: -150.48 eV per cell
# **Energy relative to the elements**: 47 meV/atom

No. 8
# Tb3Sm3Hg2 GGA-PBE relaxed
data_Tb3Sm3Hg2
_cell_length_a 5.229
_cell_length_b 11.833
_cell_length_c 15.839
_cell_angle_alpha 90.00
_cell_angle_beta 90.00
_cell_angle_gamma 90.00
_symmetry_space_group_name_H-M 'C m c m'
_symmetry_Int_Tables_number 63
_symmetry_space_group_name_Hall '-C 2c 2'
loop_
_atom_site_label
_atom_site_fract_x
_atom_site_fract_y
_atom_site_fract_z
_atom_site_occupancy
Tb1 0.000 0.069 0.250 1
Tb2 0.000 0.142 0.533 1
Sm1 0.000 0.217 0.750 1
Sm2 0.000 0.461 0.608 1
Hg1 0.000 0.272 0.128 1
# **DOS(E_F)**: 40.50 states/eV per cell
# **Raw total energy**: -120.05 eV per cell
# **Energy relative to the elements**: -170 meV/atom